Here is a relaxed RbTiP2 crystal from Alexandria. Energies are from PBE.

Output
The energy relative to the elements is -0.416 eV per atom. Its crystal system is tetragonal. The value obtained for the offset from the most stable computed form is 0.0 kJ/mol of atoms.

Cell lengths 5.964, 5.964, 14.327 Å; angles 90.00, 90.00, 90.00 degrees
Space group I-42d (No. 122)
Symmetry-distinct sites (fractional):
Rb (0.000, 0.000, 0.000)
Ti (0.000, 0.000, 0.500)
P (0.001, 0.250, 0.625)

=====

Here is a relaxed RbTi2P2 crystal from Alexandria. Energies are from PBE.

Output
The energy relative to the elements is -0.788 eV per atom. Its crystal system is tetragonal. The value obtained for the offset from the most stable computed form is 0.0 kJ/mol of atoms.

Cell lengths 4.229, 4.229, 14.036 Å; angles 90.00, 90.00, 90.00 degrees
Space group I4/mmm (No. 139)
Symmetry-distinct sites (fractional):
Rb (0.000, 0.000, 0.000)
Ti (0.000, 0.500, 0.250)
P (0.000, 0.000, 0.338)

=====

Here is a relaxed RbTiTlP2 crystal from Alexandria. Energies are from PBE.

Output
The energy relative to the elements is 1.433 eV per atom. Its crystal system is tetragonal.

Cell lengths 5.295, 5.295, 5.752 Å; angles 90.00, 90.00, 90.00 degrees
Space group P4/mmm (No. 123)
Symmetry-distinct sites (fractional):
Rb (0.000, 0.000, 0.000)
Ti (0.500, 0.500, 0.000)
Tl (0.000, 0.000, 0.500)
P (0.000, 0.500, 0.500)

=====

Here is a relaxed RbTi2VP crystal from Alexandria. Energies are from PBE.

Output
The energy relative to the elements is 0.649 eV per atom. Its crystal system is tetragonal.

Cell lengths 4.757, 4.757, 4.747 Å; angles 90.00, 90.00, 90.00 degrees
Space group P4/mmm (No. 123)
Symmetry-distinct sites (fractional):
Rb (0.000, 0.000, 0.000)
Ti (0.000, 0.500, 0.500)
V (0.500, 0.500, 0.500)
P (0.500, 0.500, 0.000)

=====

Here is a relaxed RbTlP2 crystal from Alexandria. Energies are from PBE.

Output
The energy relative to the elements is 0.207 eV per atom. Its crystal system is tetragonal. The value obtained for the offset from the most stable computed form is 0.0 kJ/mol of atoms.

Cell lengths 5.228, 5.228, 18.936 Å; angles 90.00, 90.00, 90.00 degrees
Space group I4_1/amd (No. 141, origin choice 2)
Symmetry-distinct sites (fractional):
Rb (0.000, 0.250, 0.375)
Tl (0.000, 0.250, 0.875)
P (0.000, 0.000, 0.000)

=====

Here is a relaxed Rb3TlP crystal from Alexandria. Energies are from PBE.

Output
The energy relative to the elements is 0.149 eV per atom. Its crystal system is cubic. The value obtained for the offset from the most stable computed form is 0.0 kJ/mol of atoms.

Cell lengths 6.603, 6.603, 6.603 Å; angles 90.00, 90.00, 90.00 degrees
Space group Pm-3m (No. 221)
Symmetry-distinct sites (fractional):
Rb (0.000, 0.000, 0.500)
Tl (0.500, 0.500, 0.500)
P (0.000, 0.000, 0.000)

=====

Here is a relaxed RbTlP crystal from Alexandria. Energies are from PBE.

Output
The energy relative to the elements is -0.029 eV per atom. Its crystal system is trigonal.

Cell lengths 4.7943, 4.7943, 5.3584 Å; angles 90.00, 90.00, 120.00 degrees
Space group P3m1 (No. 156)
Symmetry-distinct sites (fractional):
Rb (0.0000, 0.0000, 0.0000)
Tl (0.3333, 0.6667, 0.4886)
P (0.6667, 0.3333, 0.5171)

=====

Here is a relaxed RbTl2P crystal from Alexandria. Energies are from PBE.

Output
The energy relative to the elements is 0.114 eV per atom. Its crystal system is cubic. The value obtained for the offset from the most stable computed form is 16.7 kJ/mol of atoms.

Cell lengths 7.867, 7.867, 7.867 Å; angles 90.00, 90.00, 90.00 degrees
Space group Fm-3m (No. 225)
Symmetry-distinct sites (fractional):
Rb (0.000, 0.000, 0.000)
Tl (0.250, 0.250, 0.250)
P (0.000, 0.000, 0.500)

=====

Here is a relaxed RbTlP2 crystal from Alexandria. Energies are from PBE.

Output
The energy relative to the elements is 0.626 eV per atom. Its crystal system is cubic. The value obtained for the offset from the most stable computed form is 40.4 kJ/mol of atoms.

Cell lengths 7.433, 7.433, 7.433 Å; angles 90.00, 90.00, 90.00 degrees
Space group Fm-3m (No. 225)
Symmetry-distinct sites (fractional):
Rb (0.000, 0.000, 0.000)
Tl (0.000, 0.000, 0.500)
P (0.250, 0.250, 0.250)

=====

Here is a relaxed RbTlP3 crystal from Alexandria. Energies are from PBE.

Output
The energy relative to the elements is 1.762 eV per atom. Its crystal system is cubic. The value obtained for the offset from the most stable computed form is 82.6 kJ/mol of atoms.

Cell lengths 5.629, 5.629, 5.629 Å; angles 90.00, 90.00, 90.00 degrees
Space group Pm-3m (No. 221)
Symmetry-distinct sites (fractional):
Rb (0.000, 0.000, 0.000)
Tl (0.500, 0.500, 0.500)
P (0.000, 0.000, 0.500)

=====

Here is a relaxed RbTl2P crystal from Alexandria. Energies are from PBE.

Output
The energy relative to the elements is -0.026 eV per atom. Its crystal system is tetragonal. The value obtained for the offset from the most stable computed form is 3.2 kJ/mol of atoms.

Cell lengths 8.969, 8.969, 6.783 Å; angles 90.00, 90.00, 90.00 degrees
Space group I-42d (No. 122)
Symmetry-distinct sites (fractional):
Rb (0.000, 0.000, 0.000)
Tl (0.172, 0.250, 0.625)
P (0.000, 0.000, 0.500)

=====

Here is a relaxed RbTlP3 crystal from Alexandria. Energies are from PBE.

Output
The energy relative to the elements is 0.907 eV per atom. Its crystal system is cubic. The value obtained for the offset from the most stable computed form is 0.0 kJ/mol of atoms.

Cell lengths 5.315, 5.315, 5.315 Å; angles 90.00, 90.00, 90.00 degrees
Space group Pm-3m (No. 221)
Symmetry-distinct sites (fractional):
Rb (0.000, 0.000, 0.000)
Tl (0.500, 0.500, 0.500)
P (0.000, 0.500, 0.500)

=====

Here is a relaxed RbTl3P crystal from Alexandria. Energies are from PBE.

Output
The energy relative to the elements is 0.203 eV per atom. Its crystal system is cubic. The value obtained for the offset from the most stable computed form is 0.0 kJ/mol of atoms.

Cell lengths 5.731, 5.731, 5.731 Å; angles 90.00, 90.00, 90.00 degrees
Space group Pm-3m (No. 221)
Symmetry-distinct sites (fractional):
Rb (0.000, 0.000, 0.000)
Tl (0.000, 0.500, 0.500)
P (0.500, 0.500, 0.500)

=====

Here is a relaxed RbTl2P crystal from Alexandria. Energies are from PBE.

Output
The energy relative to the elements is -0.059 eV per atom. Its crystal system is trigonal. The value obtained for the offset from the most stable computed form is 0.0 kJ/mol of atoms.

Cell lengths 4.4056, 4.4056, 24.7315 Å; angles 90.00, 90.00, 120.00 degrees
Space group R-3m (No. 166, hexagonal axes)
Symmetry-distinct sites (fractional):
Rb (0.0000, 0.0000, 0.0000)
Tl (0.0000, 0.0000, 0.2232)
P (0.0000, 0.0000, 0.5000)

=====

Here is a relaxed RbTl3P crystal from Alexandria. Energies are from PBE.

Output
The energy relative to the elements is 1.140 eV per atom. Its crystal system is cubic. The value obtained for the offset from the most stable computed form is 90.3 kJ/mol of atoms.

Cell lengths 6.261, 6.261, 6.261 Å; angles 90.00, 90.00, 90.00 degrees
Space group Pm-3m (No. 221)
Symmetry-distinct sites (fractional):
Rb (0.000, 0.000, 0.000)
Tl (0.000, 0.000, 0.500)
P (0.500, 0.500, 0.500)

=====

Here is a relaxed Rb2YTlP crystal from Alexandria. Energies are from PBE.

Output
The energy relative to the elements is 0.542 eV per atom. Its crystal system is tetragonal.

Cell lengths 6.634, 6.634, 5.379 Å; angles 90.00, 90.00, 90.00 degrees
Space group P4/mmm (No. 123)
Symmetry-distinct sites (fractional):
Rb (0.000, 0.500, 0.000)
Y (0.000, 0.000, 0.500)
Tl (0.500, 0.500, 0.500)
P (0.500, 0.500, 0.000)

=====

Here is a relaxed Rb2TlZnP2 crystal from Alexandria. Energies are from PBE.

Output
The energy relative to the elements is -0.205 eV per atom. Its crystal system is orthorhombic.

Cell lengths 6.787, 15.502, 6.613 Å; angles 90.00, 90.00, 90.00 degrees
Space group Ibam (No. 72)
Symmetry-distinct sites (fractional):
Rb (0.248, 0.174, 0.000)
Tl (0.000, 0.500, 0.250)
Zn (0.000, 0.000, 0.250)
P (0.207, 0.089, 0.500)

=====

Here is a relaxed RbUP2 crystal from Alexandria. Energies are from PBE.

Output
The energy relative to the elements is -0.596 eV per atom. Its crystal system is trigonal. The value obtained for the offset from the most stable computed form is 0.0 kJ/mol of atoms.

Cell lengths 4.1505, 4.1505, 23.1583 Å; angles 90.00, 90.00, 120.00 degrees
Space group R-3m (No. 166, hexagonal axes)
Symmetry-distinct sites (fractional):
Rb (0.0000, 0.0000, 0.0000)
U (0.0000, 0.0000, 0.5000)
P (0.0000, 0.0000, 0.2234)

=====

Here is a relaxed RbUP2 crystal from Alexandria. Energies are from PBE.

Output
The energy relative to the elements is -0.572 eV per atom. Its crystal system is trigonal. The value obtained for the offset from the most stable computed form is 2.3 kJ/mol of atoms.

Cell lengths 4.1387, 4.1387, 23.4975 Å; angles 90.00, 90.00, 120.00 degrees
Space group R3m (No. 160, hexagonal axes)
Symmetry-distinct sites (fractional):
Rb (0.0000, 0.0000, 0.0000)
U (0.0000, 0.0000, 0.1698)
P (0.0000, 0.0000, 0.5597)
P (0.0000, 0.0000, 0.7800)

=====

Here is a relaxed Rb3VP crystal from Alexandria. Energies are from PBE.

Output
The energy relative to the elements is 0.836 eV per atom. Its crystal system is cubic. The value obtained for the offset from the most stable computed form is 0.0 kJ/mol of atoms.

Cell lengths 6.581, 6.581, 6.581 Å; angles 90.00, 90.00, 90.00 degrees
Space group Pm-3m (No. 221)
Symmetry-distinct sites (fractional):
Rb (0.000, 0.000, 0.500)
V (0.500, 0.500, 0.500)
P (0.000, 0.000, 0.000)

=====

Here is a relaxed Rb2VP crystal from Alexandria. Energies are from PBE.

Output
The energy relative to the elements is 0.177 eV per atom. Its crystal system is tetragonal.

Cell lengths 13.050, 13.050, 4.685 Å; angles 90.00, 90.00, 90.00 degrees
Space group I-42d (No. 122)
Symmetry-distinct sites (fractional):
Rb (0.061, 0.250, 0.125)
V (0.000, 0.000, 0.500)
P (0.000, 0.000, 0.000)

=====

Here is a relaxed RbV2P2 crystal from Alexandria. Energies are from PBE.

Output
The energy relative to the elements is -0.005 eV per atom. Its crystal system is tetragonal. The value obtained for the offset from the most stable computed form is 49.3 kJ/mol of atoms.

Cell lengths 8.004, 8.004, 3.058 Å; angles 90.00, 90.00, 90.00 degrees
Space group P4/mbm (No. 127)
Symmetry-distinct sites (fractional):
Rb (0.000, 0.000, 0.000)
V (0.094, 0.406, 0.000)
P (0.146, 0.646, 0.500)

=====

Here is a relaxed RbVP3 crystal from Alexandria. Energies are from PBE.

Output
The energy relative to the elements is 0.018 eV per atom. Its crystal system is cubic. The value obtained for the offset from the most stable computed form is 0.0 kJ/mol of atoms.

Cell lengths 4.702, 4.702, 4.702 Å; angles 90.00, 90.00, 90.00 degrees
Space group Pm-3m (No. 221)
Symmetry-distinct sites (fractional):
Rb (0.000, 0.000, 0.000)
V (0.500, 0.500, 0.500)
P (0.000, 0.500, 0.500)

=====

Here is a relaxed RbV2P2 crystal from Alexandria. Energies are from PBE.

Output
The energy relative to the elements is -0.516 eV per atom. Its crystal system is tetragonal. The value obtained for the offset from the most stable computed form is 0.0 kJ/mol of atoms.

Cell lengths 3.914, 3.914, 14.284 Å; angles 90.00, 90.00, 90.00 degrees
Space group I4/mmm (No. 139)
Symmetry-distinct sites (fractional):
Rb (0.000, 0.000, 0.000)
V (0.000, 0.500, 0.250)
P (0.000, 0.000, 0.344)

=====

Here is a relaxed RbVP3 crystal from Alexandria. Energies are from PBE.

Output
The energy relative to the elements is 2.309 eV per atom. Its crystal system is cubic. The value obtained for the offset from the most stable computed form is 221.0 kJ/mol of atoms.

Cell lengths 5.207, 5.207, 5.207 Å; angles 90.00, 90.00, 90.00 degrees
Space group Pm-3m (No. 221)
Symmetry-distinct sites (fractional):
Rb (0.000, 0.000, 0.000)
V (0.500, 0.500, 0.500)
P (0.000, 0.000, 0.500)

=====

Here is a relaxed RbPW3 crystal from Alexandria. Energies are from PBE.

Output
The energy relative to the elements is 1.697 eV per atom. Its crystal system is cubic. The value obtained for the offset from the most stable computed form is 0.0 kJ/mol of atoms.

Cell lengths 4.672, 4.672, 4.672 Å; angles 90.00, 90.00, 90.00 degrees
Space group Pm-3m (No. 221)
Symmetry-distinct sites (fractional):
Rb (0.000, 0.000, 0.000)
P (0.500, 0.500, 0.500)
W (0.000, 0.500, 0.500)

=====

Here is a relaxed RbPW crystal from Alexandria. Energies are from PBE.

Output
The energy relative to the elements is -0.221 eV per atom. Its crystal system is tetragonal.

Cell lengths 3.847, 3.847, 12.095 Å; angles 90.00, 90.00, 90.00 degrees
Space group P4/nmm (No. 129, origin choice 2)
Symmetry-distinct sites (fractional):
Rb (0.250, 0.250, 0.202)
P (0.250, 0.250, 0.636)
W (0.250, 0.750, 0.500)

=====

Here is a relaxed RbP2W crystal from Alexandria. Energies are from PBE.

Output
The energy relative to the elements is -0.110 eV per atom. Its crystal system is tetragonal. The value obtained for the offset from the most stable computed form is 0.0 kJ/mol of atoms.

Cell lengths 7.090, 7.090, 11.189 Å; angles 90.00, 90.00, 90.00 degrees
Space group I4_1/amd (No. 141, origin choice 2)
Symmetry-distinct sites (fractional):
Rb (0.000, 0.250, 0.375)
P (0.000, 0.000, 0.000)
W (0.000, 0.250, 0.875)